1.
# SrYNi2

SrYNi2 after structural relaxation (PBE, the Alexandria database).

POSCAR file:
```
SrYNi2
1.0
-5.503 1.181 -5.000
-0.731 -7.432 -0.951
-5.330 -3.217 -0.561
Y Ni Sr
2 4 2
Cartesian
0.000 0.000 0.000 Y
-6.975 -2.581 -4.268 Y
-2.347 -5.330 -1.241 Ni
-9.470 -8.058 -5.650 Ni
-4.993 -0.967 -3.502 Ni
-6.318 -4.581 -2.630 Ni
-4.589 -6.887 -2.244 Sr
-3.117 -3.126 -2.975 Sr
```

Spin magnetization: 0.00 μB/f.u.
Raw total energy: -4.68 eV per atom
Space-group type: I-42d (122)
Formation energy: 250 meV per atom
Energy above the most stable polymorph in this dataset: 424 meV/atom


2.
# YSbP2

YSbP2 after structural relaxation (PBE, the Alexandria database).

POSCAR file:
```
YSbP2
1.0
-2.671 5.172 -0.614
-3.333 3.815 2.932
3.454 1.870 1.359
Y Sb P
1 1 2
Cartesian
-1.185 2.708 0.815 Y
-0.808 5.751 2.049 Sb
-5.620 9.068 2.421 P
-2.216 7.744 2.549 P
```

Spin magnetization: 0.00 μB/f.u.
Raw total energy: -6.02 eV per atom
Space-group type: Cm (8)
Formation energy (no corrections): -668 meV per atom


3.
# CdIn5Pd6

CdIn5Pd6 after structural relaxation (PBE, the Alexandria database).

POSCAR file:
```
CdIn5Pd6
1.0
-4.428 -1.287 0.059
0.826 -3.114 -5.881
-0.576 -6.493 3.357
In Pd Cd
5 6 1
Cartesian
-1.258 -4.152 -1.802 In
-3.319 -5.238 2.307 In
0.413 -1.557 -2.941 In
-2.920 -6.743 -0.664 In
-1.685 -2.543 1.109 In
-1.602 -2.950 -4.327 Pd
-0.509 -6.841 -2.186 Pd
-2.000 -1.451 -1.495 Pd
-3.255 -5.612 -3.223 Pd
-0.923 -5.282 0.757 Pd
-3.668 -4.053 -0.279 Pd
0.000 0.000 0.000 Cd
```

Spin magnetization: 0.00 μB/f.u.
Raw total energy: -4.31 eV per atom
Space-group type: P2/m (10)
Formation energy: -492 meV per atom


4.
# Mo2WCN

Mo2WCN after structural relaxation (PBE, the Alexandria database).

POSCAR file:
```
Mo2WCN
1.0
-0.084 -0.051 4.091
-4.031 -0.704 -0.091
0.703 -4.022 -0.036
C Mo W N
1 2 1 1
Cartesian
0.000 0.000 0.000 C
-2.015 -0.352 -0.046 Mo
-0.042 -0.025 2.046 Mo
0.351 -2.011 -0.018 W
-1.706 -2.388 1.982 N
```

Spin magnetization: 0.00 μB/f.u.
Raw total energy: -9.18 eV per atom
Space-group type: P4/mmm (123)
Formation energy (no corrections): 1251 meV per atom


5.
# BaAcZnSi

BaAcZnSi after structural relaxation (PBE, the Alexandria database).

POSCAR file:
```
BaAcZnSi
1.0
-3.794 -4.053 0.554
0.110 -3.332 4.474
-3.980 0.417 3.888
Zn Ba Ac Si
1 1 1 1
Cartesian
-1.916 -1.742 2.229 Zn
-3.832 -3.484 4.457 Ba
0.000 0.000 0.000 Ac
-5.748 -5.227 6.686 Si
```

Spin magnetization: 0.00 μB/f.u.
Raw total energy: -3.40 eV per atom
Space-group type: F-43m (216)
Formation energy (no corrections): -215 meV per atom


6.
# AsPAu

AsPAu after structural relaxation (PBE, the Alexandria database).

POSCAR file:
```
AsPAu
1.0
4.419 0.000 0.000
2.210 3.827 0.000
2.210 1.276 3.608
As P Au
1 1 1
Cartesian
4.419 2.551 1.804 As
0.000 0.000 0.000 P
6.629 3.827 2.706 Au
```

Spin magnetization: 0.00 μB/f.u.
Raw total energy: -4.10 eV per atom
Space-group type: F-43m (216)
Formation energy: 350 meV per atom
Energy above the most stable polymorph in this dataset: 11 meV/atom